Record 1
TlSbW4 | the Alexandria database | GGA-PBE | relaxed; N(E_F) = 5.82 states/eV/cell; formation energy without anion corrections = 841 meV/atom; total energy = -53.26 eV for the cell shown; total magnetic moment = 0.0000 μB/atom; crystal system = cubic
1.0
0.0000 3.8589 3.8589
3.8589 0.0000 3.8589
3.8589 3.8589 0.0000
Tl Sb W
1 1 4
Direct
0.0000 0.0000 0.0000
0.2500 0.2500 0.2500
0.1210 0.6263 0.6263
0.6263 0.1210 0.6263
0.6263 0.6263 0.1210
0.6263 0.6263 0.6263

=====

Record 2
Rb2BeCl7 | the Alexandria database | GGA-PBE | relaxed; N(E_F) = 8.00 states/eV/cell; formation energy without anion corrections = -1039 meV/atom; total energy = -28.98 eV for the cell shown; total magnetic moment = 0.1000 μB/atom; crystal system = tetragonal
1.0
-3.8058 3.8058 5.2908
3.8058 -3.8058 5.2908
3.8058 3.8058 -5.2908
Rb Be Cl
2 1 7
Direct
0.2500 0.7500 0.5000
0.7500 0.2500 0.5000
0.0000 0.0000 0.0000
0.1946 0.1946 0.3892
0.1946 0.8054 0.0000
0.2842 0.2842 0.0000
0.5000 0.5000 0.0000
0.7158 0.7158 0.0000
0.8054 0.1946 0.0000
0.8054 0.8054 0.6108

=====

Record 3
CaPI2 | the Alexandria database | GGA-PBE | relaxed; N(E_F) = 5.35 states/eV/cell; formation energy without anion corrections = -204 meV/atom; total energy = -22.66 eV for the cell shown; total magnetic moment = 0.0000 μB/atom; energy above the lowest structure with this stoichiometry = 0 meV per atom; crystal system = tetragonal
1.0
-2.6846 2.6846 9.7751
2.6846 -2.6846 9.7751
2.6846 2.6846 -9.7751
Ca P I
2 2 4
Direct
0.0000 0.0000 0.0000
0.7500 0.2500 0.5000
0.2500 0.7500 0.5000
0.5000 0.5000 0.0000
0.1460 0.6250 0.0210
0.3750 0.3960 0.5210
0.6040 0.1250 0.9790
0.8750 0.8540 0.4790

=====

Record 4
Li2P3Pt9 | the Alexandria database | GGA-PBE | relaxed; ΔH_f (0 K) = -47 kJ per mole of atoms; N(E_F) = 12.29 states/eV/cell; total energy = -162.38 eV for the cell shown; total magnetic moment = 0.0000 μB/atom; crystal system = monoclinic
1.0
6.3349 -4.1338 0.0000
6.3349 4.1338 0.0000
-3.5939 0.0000 8.0867
Li P Pt
4 6 18
Direct
0.0834 0.2597 0.2645
0.2597 0.0834 0.7645
0.7403 0.9166 0.2355
0.9166 0.7403 0.7355
0.0000 0.5000 0.0000
0.1161 0.7317 0.5228
0.2683 0.8839 0.9772
0.5000 0.0000 0.5000
0.7317 0.1161 0.0228
0.8839 0.2683 0.4772
0.0181 0.8392 0.0601
0.1564 0.3731 0.6039
0.1608 0.9819 0.4399
0.2003 0.5649 0.2711
0.3049 0.4633 0.9624
0.3566 0.6434 0.7500
0.3731 0.1564 0.1039
0.4351 0.7997 0.2289
0.4633 0.3049 0.4624
0.5367 0.6951 0.5376
0.5649 0.2003 0.7711
0.6269 0.8436 0.8961
0.6434 0.3566 0.2500
0.6951 0.5367 0.0376
0.7997 0.4351 0.7289
0.8392 0.0181 0.5601
0.8436 0.6269 0.3961
0.9819 0.1608 0.9399

=====

> Look up the N(E_F) of the second one.

8.00 states/eV/cell

=====

> total magnetic moment of number 2 (Rb2BeCl7)?

0.1000 μB/atom

=====

> Which formula does entry 3 have?

CaPI2